(1)
# Sc2Re PBE relaxed
# SG: No. 227
# Density of states at the Fermi level: 7.9 states/eV per cell
# Energy of formation: 704 meV/atom
data_Sc2Re
_symmetry_space_group_name_H-M 'P 1'
_symmetry_Int_Tables_number 1
_symmetry_space_group_name_Hall 'P 1'
_cell_length_a 5.381
_cell_length_b 5.381
_cell_length_c 5.381
_cell_angle_alpha 60.00
_cell_angle_beta 60.00
_cell_angle_gamma 60.00
loop_
_atom_site_label
_atom_site_type_symbol
_atom_site_fract_x
_atom_site_fract_y
_atom_site_fract_z
Sc1 Sc 0.000 0.000 0.000
Sc2 Sc 0.000 0.000 0.500
Sc3 Sc 0.000 0.500 0.000
Sc4 Sc 0.500 0.000 0.000
Re1 Re 0.375 0.375 0.375
Re2 Re 0.625 0.625 0.625


(2)
# Sc3Re PBE relaxed
# SG: No. 47
# Density of states at the Fermi level: 6.7 states/eV per cell
# Energy of formation: 138 meV/atom
data_Sc3Re
_symmetry_space_group_name_H-M 'P 1'
_symmetry_Int_Tables_number 1
_symmetry_space_group_name_Hall 'P 1'
_cell_length_a 2.903
_cell_length_b 4.596
_cell_length_c 5.941
_cell_angle_alpha 90.00
_cell_angle_beta 90.00
_cell_angle_gamma 90.00
loop_
_atom_site_label
_atom_site_type_symbol
_atom_site_fract_x
_atom_site_fract_y
_atom_site_fract_z
Sc1 Sc 0.000 0.000 0.000
Sc2 Sc 0.500 0.500 0.272
Sc3 Sc 0.500 0.500 0.728
Re1 Re 0.000 0.000 0.500


(3)
# ScRe PBE relaxed
# SG: No. 8
# Density of states at the Fermi level: 11.3 states/eV per cell
# Energy of formation: 20 meV/atom
data_ScRe
_symmetry_space_group_name_H-M 'P 1'
_symmetry_Int_Tables_number 1
_symmetry_space_group_name_Hall 'P 1'
_cell_length_a 10.307
_cell_length_b 2.990
_cell_length_c 7.420
_cell_angle_alpha 90.00
_cell_angle_beta 106.47
_cell_angle_gamma 90.00
loop_
_atom_site_label
_atom_site_type_symbol
_atom_site_fract_x
_atom_site_fract_y
_atom_site_fract_z
Sc1 Sc 0.000 0.000 0.000
Sc2 Sc 0.013 0.000 0.411
Sc3 Sc 0.333 0.000 0.628
Sc4 Sc 0.500 0.500 0.000
Sc5 Sc 0.513 0.500 0.411
Sc6 Sc 0.833 0.500 0.628
Re1 Re 0.134 0.500 0.747
Re2 Re 0.223 0.500 0.293
Re3 Re 0.267 0.000 0.030
Re4 Re 0.634 0.000 0.747
Re5 Re 0.723 0.000 0.293
Re6 Re 0.767 0.500 0.030


| no. | ρ (g/cm3) |
| --- | --- |
| 1 | 8.32 |
| 2 | 6.73 |
| 3 | 10.51 |